## La5SiTe4 (GGA-PBE)

Data for a relaxed La5SiTe4 crystal.

```
La5SiTe4
1.0
-5.0952 5.0952 3.2143
5.0952 -5.0952 3.2143
5.0952 5.0952 -3.2143
La Si Te
5 1 4
Direct
0.0000 0.0000 0.0000
0.2197 0.5960 0.8157
0.4040 0.2197 0.6237
0.5960 0.7803 0.3763
0.7803 0.4040 0.1843
0.5000 0.5000 0.0000
0.0938 0.3037 0.3975
0.3037 0.9062 0.2100
0.6963 0.0938 0.7900
0.9062 0.6963 0.6025
```

Summary:
- Density: 6.1 g/cm3
- Uncorrected formation energy: -1407 kJ/mol of formula units
- E: -5.720 eV/atom